Record 1
# Na2Ni7O14

A geometry-optimized Na2Ni7O14 structure (GGA-PBEsol, Alexandria via LeMat-Bulk).

Energy relative to the elements, uncorrected   -940 meV/atom
M_tot   1.13 μB per cell

```
Na2Ni7O14
1.0
-2.735 -3.655 -1.635
5.365 -2.837 2.145
-4.467 0.959 7.728
O Ni Na
14 7 2
Direct
0.268 0.265 0.594 O
0.732 0.735 0.406 O
0.300 0.880 0.551 O
0.155 0.590 0.261 O
0.590 0.449 0.121 O
0.845 0.410 0.739 O
0.126 0.980 0.308 O
0.559 0.839 0.167 O
0.410 0.551 0.879 O
0.700 0.120 0.449 O
0.014 0.306 0.980 O
0.986 0.694 0.020 O
0.441 0.161 0.833 O
0.874 0.020 0.692 O
0.000 0.000 0.500 Ni
0.572 0.145 0.642 Ni
0.287 0.572 0.072 Ni
0.142 0.284 0.786 Ni
0.428 0.855 0.358 Ni
0.713 0.428 0.928 Ni
0.858 0.716 0.214 Ni
0.859 0.219 0.219 Na
0.141 0.781 0.781 Na
```

Record 2
# Na2Ni3O5

A geometry-optimized Na2Ni3O5 structure (GGA-PBEsol, Alexandria via LeMat-Bulk).

Energy relative to the elements, uncorrected   -1028 meV/atom
M_tot   3.46 μB per cell

```
Na2Ni3O5
1.0
-2.223 1.566 4.513
-4.583 -1.942 -3.676
2.841 -5.493 2.188
Na O Ni
4 10 6
Direct
0.407 0.302 0.791 Na
0.593 0.698 0.209 Na
0.799 0.112 0.598 Na
0.201 0.888 0.402 Na
0.519 0.296 0.461 O
0.221 0.332 0.072 O
0.905 0.497 0.275 O
0.481 0.704 0.539 O
0.945 0.082 0.282 O
0.095 0.503 0.725 O
0.055 0.918 0.718 O
0.319 0.917 0.086 O
0.681 0.083 0.914 O
0.779 0.668 0.928 O
0.390 0.798 0.808 Ni
0.610 0.202 0.192 Ni
0.000 0.000 0.000 Ni
0.000 0.500 0.000 Ni
0.202 0.394 0.391 Ni
0.798 0.606 0.609 Ni
```

Record 3
# Na4Ni7O16

A geometry-optimized Na4Ni7O16 structure (GGA-PBEsol, Alexandria via LeMat-Bulk).

Energy relative to the elements, uncorrected   -966 meV/atom
M_tot   0.00 μB per cell

```
Na4Ni7O16
1.0
6.906 -0.078 -0.041
3.030 6.283 -0.047
1.525 2.156 6.985
O Ni Na
16 7 4
Direct
0.869 0.302 0.997 O
0.881 0.948 0.247 O
0.749 0.412 0.626 O
0.627 0.195 0.503 O
0.659 0.525 0.274 O
0.371 0.453 0.755 O
0.994 0.168 0.379 O
0.753 0.069 0.879 O
0.106 0.721 0.977 O
0.516 0.672 0.828 O
0.245 0.573 0.403 O
0.004 0.821 0.626 O
0.376 0.795 0.489 O
0.224 0.975 0.124 O
0.118 0.054 0.743 O
0.521 0.289 0.126 O
0.871 0.117 0.627 Ni
0.501 0.494 0.502 Ni
0.125 0.874 0.374 Ni
0.254 0.753 0.743 Ni
0.750 0.245 0.252 Ni
0.001 0.004 0.997 Ni
0.623 0.371 0.874 Ni
0.591 0.903 0.178 Na
0.151 0.362 0.133 Na
0.389 0.639 0.114 Na
0.044 0.456 0.672 Na
```

Record 4
# Na4Ni5O10

A geometry-optimized Na4Ni5O10 structure (GGA-PBEsol, Alexandria via LeMat-Bulk).

Energy relative to the elements, uncorrected   -1099 meV/atom
M_tot   4.04 μB per cell

```
Na4Ni5O10
1.0
5.126 -0.009 -0.016
-1.740 5.978 0.016
-0.775 -2.630 6.244
O Na Ni
10 4 5
Direct
0.514 0.781 0.478 O
0.675 0.614 0.927 O
0.706 0.195 0.868 O
0.126 0.992 0.672 O
0.904 0.587 0.276 O
0.096 0.413 0.724 O
0.325 0.386 0.073 O
0.486 0.219 0.522 O
0.874 0.008 0.328 O
0.294 0.805 0.132 O
0.595 0.189 0.190 Na
0.186 0.378 0.377 Na
0.405 0.811 0.810 Na
0.814 0.622 0.623 Na
0.000 0.500 0.000 Ni
0.798 0.099 0.600 Ni
0.401 0.303 0.798 Ni
0.202 0.901 0.400 Ni
0.599 0.697 0.202 Ni
```

Record 5
# Na5Ni6O12

A geometry-optimized Na5Ni6O12 structure (GGA-PBEsol, Alexandria via LeMat-Bulk).

Energy relative to the elements, uncorrected   -1103 meV/atom
M_tot   5.03 μB per cell

```
Na5Ni6O12
1.0
-5.561 1.129 -1.607
-4.142 -5.389 0.392
-3.332 -0.330 5.931
Ni O Na
6 12 5
Direct
0.424 0.331 0.165 Ni
0.752 0.997 0.499 Ni
0.248 0.003 0.501 Ni
0.076 0.667 0.834 Ni
0.924 0.333 0.166 Ni
0.576 0.669 0.835 Ni
0.790 0.112 0.193 O
0.066 0.547 0.133 O
0.443 0.447 0.861 O
0.425 0.212 0.465 O
0.575 0.788 0.535 O
0.557 0.553 0.139 O
0.210 0.888 0.807 O
0.707 0.892 0.805 O
0.934 0.453 0.867 O
0.083 0.785 0.535 O
0.293 0.108 0.195 O
0.917 0.215 0.465 O
0.315 0.179 0.822 Na
0.500 0.500 0.500 Na
0.165 0.817 0.182 Na
0.685 0.821 0.178 Na
0.835 0.183 0.818 Na
```

Record 6
# Na3Ni5O10

A geometry-optimized Na3Ni5O10 structure (GGA-PBEsol, Alexandria via LeMat-Bulk).

Energy relative to the elements, uncorrected   -1055 meV/atom
M_tot   3.03 μB per cell

```
Na3Ni5O10
1.0
4.889 0.054 0.131
-1.634 6.096 0.025
-0.859 -2.745 6.269
Ni O Na
5 10 3
Direct
0.900 0.798 0.801 Ni
0.100 0.202 0.199 Ni
0.300 0.600 0.599 Ni
0.700 0.400 0.401 Ni
0.500 0.000 0.000 Ni
0.010 0.290 0.468 O
0.990 0.710 0.532 O
0.588 0.904 0.721 O
0.596 0.483 0.668 O
0.202 0.116 0.934 O
0.784 0.303 0.128 O
0.798 0.884 0.066 O
0.216 0.697 0.872 O
0.404 0.517 0.332 O
0.412 0.096 0.279 O
0.500 0.500 0.000 Na
0.296 0.101 0.605 Na
0.704 0.899 0.395 Na
```